NaVPdF6: optimized geometry, PBE with a Hubbard U. Values from VASP.

Properties
- space-group type = P-31c (163)
- M_tot (Bohr magnetons per cell) = 8.00
- final energy (eV/f.u.) = -45.426
- crystal system = trigonal

Geometry as Quantum ESPRESSO input:
```
&SYSTEM
  ibrav = 0, nat = 18, ntyp = 4
/
ATOMIC_SPECIES
Na 22.99 Na.upf
Pd 106.42 Pd.upf
F 19.00 F.upf
V 50.94 V.upf
CELL_PARAMETERS angstrom
5.524 0.000 0.000
-2.762 4.784 0.000
0.000 0.000 9.107
ATOMIC_POSITIONS crystal
Na 0.667 0.333 0.750
Na 0.333 0.667 0.250
Pd 0.000 0.000 0.000
Pd 0.000 0.000 0.500
F 0.680 0.639 0.129
F 0.959 0.639 0.371
F 0.639 0.680 0.629
F 0.320 0.959 0.629
F 0.680 0.041 0.371
F 0.041 0.680 0.871
F 0.361 0.320 0.371
F 0.959 0.320 0.129
F 0.361 0.041 0.129
F 0.320 0.361 0.871
F 0.041 0.361 0.629
F 0.639 0.959 0.871
V 0.667 0.333 0.250
V 0.333 0.667 0.750
```